[1]
! GeOsN3 | Alexandria via LeMat-Bulk | SCAN | PBEsol geometry; values from VASP
&SYSTEM
  ibrav = 0, nat = 5, ntyp = 3
/
ATOMIC_SPECIES
Ge 72.64 Ge.upf
Os 190.23 Os.upf
N 14.01 N.upf
CELL_PARAMETERS angstrom
-1.348 2.659 -2.190
-2.870 0.434 2.294
1.906 2.535 1.904
ATOMIC_POSITIONS angstrom
Ge 0.000 0.000 0.000
Os -1.156 2.814 1.004
N -1.435 0.217 1.147
N 0.953 1.268 0.952
N -0.674 1.330 -1.095
! **Symmetry**: Pm-3m
! **ΔE_f (raw)**: 1.968 eV per atom



[2]
! Cu2OF2 | Alexandria via LeMat-Bulk | SCAN | PBEsol geometry; values from VASP
&SYSTEM
  ibrav = 0, nat = 30, ntyp = 3
/
ATOMIC_SPECIES
Cu 63.55 Cu.upf
O 16.00 O.upf
F 19.00 F.upf
CELL_PARAMETERS angstrom
-0.460 -4.661 2.103
1.345 -4.137 -2.727
12.971 0.417 4.891
ATOMIC_POSITIONS angstrom
Cu 3.219 -4.027 -1.619
Cu 8.157 -4.268 4.969
Cu 4.340 -3.122 1.657
Cu 0.445 -3.053 -0.051
Cu 11.069 -2.843 3.452
Cu 7.005 -2.823 2.196
Cu 6.852 -5.558 2.071
Cu 2.788 -5.538 0.815
Cu 13.411 -5.328 4.318
Cu 9.516 -5.259 2.610
Cu 5.699 -4.112 -0.702
Cu 10.637 -4.353 5.886
O 5.961 -4.124 1.199
O 12.070 -4.025 4.653
O 1.787 -4.355 -0.386
O 7.895 -4.257 3.069
O 3.156 -4.448 2.327
O 10.700 -3.932 1.940
F 3.849 -2.566 -0.428
F 9.304 -2.657 4.775
F 6.269 -7.145 1.116
F 12.463 -7.021 4.344
F 2.017 -6.919 -0.539
F 8.151 -6.813 2.848
F 5.705 -1.568 1.419
F 11.839 -1.462 4.806
F 1.394 -1.359 -0.077
F 7.587 -1.236 3.151
F 4.552 -5.724 -0.508
F 10.007 -5.815 4.695
! **Energy above the lowest structure with this stoichiometry**: 0 meV per atom
! **Symmetry**: C2/c
! **ΔE_f (raw)**: -1.354 eV per atom



[3]
! NaSbCCl2 | Alexandria via LeMat-Bulk | SCAN | PBEsol geometry; values from VASP
&SYSTEM
  ibrav = 0, nat = 5, ntyp = 4
/
ATOMIC_SPECIES
Sb 121.76 Sb.upf
C 12.01 C.upf
Na 22.99 Na.upf
Cl 35.45 Cl.upf
CELL_PARAMETERS angstrom
-2.108 3.185 1.301
0.511 -1.786 5.198
4.679 2.880 0.529
ATOMIC_POSITIONS angstrom
Sb 0.000 0.000 0.000
C -1.054 1.593 0.651
Na 1.541 2.140 3.514
Cl 2.339 1.440 0.265
Cl 0.256 -0.893 2.599
! **Symmetry**: P4/mmm
! **ΔE_f (raw)**: 0.233 eV per atom